The following is a PBE-GGA calculation of an optimized crystal structure of Dy2CdIn, from the Alexandria database.

Summary:
total magnetization: 0.00 Bohr magnetons per cell
excess energy over the best structure of this formula in the dataset: 0 meV per atom
density: 8.71 Mg/m³
calculated formation energy: -0.4076 eV/atom

Cell: 5.300 5.300 5.300 Å, 60.00 60.00 60.00°
Element x y z (fractional)
1 Cd 0.500 0.500 0.500
2 In 0.000 0.000 0.000
3 Dy 0.750 0.750 0.750
4 Dy 0.250 0.250 0.250

The following is a PBE-GGA calculation of an optimized crystal structure of Dy3CdIn, from the Alexandria database.

Summary:
total magnetization: 0.00 Bohr magnetons per cell
excess energy over the best structure of this formula in the dataset: 275 meV per atom
density: 7.78 Mg/m³
calculated formation energy: -0.0355 eV/atom

Cell: 5.259 8.183 8.183 Å, 120.00 90.00 90.00°
Element x y z (fractional)
1 Dy 0.250 0.804 0.196
2 Dy 0.750 0.609 0.804
3 Dy 0.750 0.196 0.804
4 Dy 0.250 0.391 0.196
5 Dy 0.250 0.804 0.609
6 Dy 0.750 0.196 0.391
7 Cd 0.500 0.000 0.000
8 Cd 0.000 0.000 0.000
9 In 0.750 0.666 0.334
10 In 0.250 0.334 0.666

The following is a PBE-GGA calculation of an optimized crystal structure of Dy3Cd2In3, from the Alexandria database.

Summary:
total magnetization: 0.00 Bohr magnetons per cell
excess energy over the best structure of this formula in the dataset: 103 meV per atom
density: 8.41 Mg/m³
calculated formation energy: -0.2675 eV/atom

Cell: 6.010 8.953 8.953 Å, 120.00 90.00 90.00°
Element x y z (fractional)
1 In 0.750 0.600 0.000
2 In 0.250 0.600 0.600
3 In 0.750 0.000 0.600
4 In 0.750 0.400 0.400
5 In 0.250 0.000 0.400
6 In 0.250 0.400 0.000
7 Cd 0.000 0.667 0.333
8 Cd 0.000 0.333 0.667
9 Cd 0.500 0.333 0.667
10 Cd 0.500 0.667 0.333
11 Dy 0.250 0.760 0.000
12 Dy 0.750 0.000 0.240
13 Dy 0.250 0.240 0.240
14 Dy 0.750 0.760 0.760
15 Dy 0.250 0.000 0.760
16 Dy 0.750 0.240 0.000

The following is a PBE-GGA calculation of an optimized crystal structure of Dy3Cd5In, from the Alexandria database.

Summary:
total magnetization: 0.00 Bohr magnetons per cell
density: 8.76 Mg/m³
calculated formation energy: -0.2980 eV/atom

Cell: 6.330 8.973 8.973 Å, 120.00 90.00 90.00°
Element x y z (fractional)
1 Cd 0.250 0.347 0.347
2 Cd 0.250 0.653 0.000
3 Cd 0.750 0.347 0.000
4 Cd 0.750 0.000 0.347
5 Cd 0.000 0.333 0.667
6 Cd 0.750 0.653 0.653
7 Cd 0.500 0.333 0.667
8 Cd 0.000 0.667 0.333
9 Cd 0.250 0.000 0.653
10 Cd 0.500 0.667 0.333
11 Dy 0.750 0.679 0.000
12 Dy 0.750 0.000 0.679
13 Dy 0.250 0.000 0.321
14 Dy 0.250 0.321 0.000
15 Dy 0.250 0.679 0.679
16 Dy 0.750 0.321 0.321
17 In 0.000 0.000 0.000
18 In 0.500 0.000 0.000

The following is a PBE-GGA calculation of an optimized crystal structure of DyCdIn, from the Alexandria database.

Summary:
total magnetization: 0.26 Bohr magnetons per cell
density: 8.48 Mg/m³
calculated formation energy: -0.2551 eV/atom

Cell: 3.572 3.572 6.494 Å, 105.96 105.96 90.00°
Site moments in Bohr magnetons follow the coordinates.
Element x y z (fractional)
1 Dy 0.952 0.952 0.904  0.20
2 Cd 0.622 0.622 0.245  0.00
3 In 0.276 0.276 0.551  0.00

The following is a PBE-GGA calculation of an optimized crystal structure of Dy2Cd6In5, from the Alexandria database.

Summary:
total magnetization: 0.00 Bohr magnetons per cell
density: 5.30 Mg/m³
calculated formation energy: 0.2717 eV/atom

Cell: 8.911 8.911 8.825 Å, 59.68 59.68 60.00°
Element x y z (fractional)
1 Cd 0.177 0.823 0.500
2 Cd 0.500 0.823 0.500
3 Cd 0.823 0.177 0.500
4 Cd 0.177 0.500 0.500
5 Cd 0.823 0.500 0.500
6 Cd 0.500 0.177 0.500
7 Dy 0.140 0.140 0.579
8 Dy 0.860 0.860 0.421
9 In 0.424 0.424 0.729
10 In 0.576 0.576 0.271
11 In 0.719 0.719 0.843
12 In 0.281 0.281 0.157
13 In 0.000 0.000 0.000

The following is a PBE-GGA calculation of an optimized crystal structure of Dy3Cd4In, from the Alexandria database.

Summary:
total magnetization: 0.00 Bohr magnetons per cell
density: 7.99 Mg/m³
calculated formation energy: -0.1130 eV/atom

Cell: 3.499 8.153 8.856 Å, 117.41 101.39 90.00°
Element x y z (fractional)
1 Dy 0.179 0.179 0.357
2 Dy 0.000 0.500 0.000
3 Dy 0.821 0.821 0.643
4 Cd 0.356 0.545 0.713
5 Cd 0.356 0.167 0.713
6 Cd 0.644 0.833 0.287
7 Cd 0.644 0.455 0.287
8 In 0.500 0.000 0.000

The following is a PBE-GGA calculation of an optimized crystal structure of DyCdIn, from the Alexandria database.

Summary:
total magnetization: 0.00 Bohr magnetons per cell
density: 7.90 Mg/m³
calculated formation energy: -0.2696 eV/atom

Cell: 4.876 4.876 4.876 Å, 60.00 60.00 60.00°
Element x y z (fractional)
1 In 0.000 0.000 0.000
2 Cd 0.250 0.250 0.250
3 Dy 0.500 0.500 0.500

Q: Among the records above, which one has the lowest density?
A: Dy2Cd6In5

Q: Look up the calculated formation energy of the fourth one.
A: -0.2980 eV/atom

Q: What is the calculated formation energy in the eighth record?
A: -0.2696 eV/atom